The following is a PBE calculation of a relaxed BeAsS2 crystal, from Alexandria.

Properties
Raw formation energy = 0.527 eV/atom
Crystal system = cubic

Cell: 4.414 4.414 4.414 Å, 60.00 60.00 60.00°
Atoms (fractional coordinates):
Be 0.000 0.000 0.000
As 0.500 0.500 0.500
S 0.250 0.250 0.250
S 0.750 0.750 0.750